KTl4Ni3F12: optimized geometry, GGA+U.

Cell lengths 7.4229, 7.4229, 7.4229 Å; angles 109.47, 109.47, 109.47 degrees
Fractional positions:
1 K 0.0000 0.0000 0.0000
2 Tl 0.0000 0.0000 0.5000
3 Tl 0.0000 0.5000 0.0000
4 Tl 0.5000 0.0000 0.0000
5 Tl 0.5000 0.5000 0.5000
6 Ni 0.0000 0.5000 0.5000
7 Ni 0.5000 0.0000 0.5000
8 Ni 0.5000 0.5000 0.0000
9 F 0.0000 0.2787 0.2787
10 F 0.0000 0.7213 0.7213
11 F 0.2500 0.5000 0.7500
12 F 0.2500 0.7500 0.5000
13 F 0.2787 0.0000 0.2787
14 F 0.2787 0.2787 0.0000
15 F 0.5000 0.2500 0.7500
16 F 0.5000 0.7500 0.2500
17 F 0.7213 0.0000 0.7213
18 F 0.7213 0.7213 0.0000
19 F 0.7500 0.2500 0.5000
20 F 0.7500 0.5000 0.2500

Values from the calculation:
Its calculated total energy is -4.02 eV/atom. The calculation puts the size of the total moment at 0.348 μB/atom. The density of states at the Fermi level is 13.04 states/eV/f.u.